No. 1
## Ge (PBE)

Data for a relaxed structure of Ge.

Values from the calculation:
As for the offset from the most stable computed form: 231 meV per atom. As for the spin magnetization: 0.00 μB/cell. The value obtained for the formation energy is 0.23 eV/atom. For the calculated volume, the calculation gives 19.31 Å³ per atom. The total energy is -8.77 eV for the cell shown.

Unit cell a=3.9268 b=3.9268 c=3.9268 alpha=98.21 beta=97.45 gamma=136.68
Fractional coordinates of all 2 atoms:
Ge1 0.3670 0.1170 0.2500
Ge2 0.6330 0.8830 0.7500

No. 2
## Ge (PBE)

Data for a relaxed structure of Ge.

Values from the calculation:
As for the offset from the most stable computed form: 289 meV per atom. As for the spin magnetization: 0.00 μB/cell. The value obtained for the formation energy is 0.29 eV/atom. For the calculated volume, the calculation gives 34.53 Å³ per atom. The total energy is -69.25 eV for the cell shown.

Unit cell a=11.4706 b=11.4706 c=4.1985 alpha=90.00 beta=90.00 gamma=90.00
Fractional coordinates of all 16 atoms:
Ge1 0.1089 0.3899 0.0000
Ge2 0.1089 0.6101 0.0000
Ge3 0.1130 0.2678 0.5000
Ge4 0.1130 0.7322 0.5000
Ge5 0.2678 0.1130 0.5000
Ge6 0.2678 0.8870 0.5000
Ge7 0.3899 0.1089 0.0000
Ge8 0.3899 0.8911 0.0000
Ge9 0.6101 0.1089 0.0000
Ge10 0.6101 0.8911 0.0000
Ge11 0.7322 0.1130 0.5000
Ge12 0.7322 0.8870 0.5000
Ge13 0.8870 0.2678 0.5000
Ge14 0.8870 0.7322 0.5000
Ge15 0.8911 0.3899 0.0000
Ge16 0.8911 0.6101 0.0000

No. 3
## Ge (PBE)

Data for a relaxed structure of Ge.

Values from the calculation:
As for the offset from the most stable computed form: 212 meV per atom. As for the spin magnetization: 0.00 μB/cell. The value obtained for the formation energy is 0.21 eV/atom. For the calculated volume, the calculation gives 19.70 Å³ per atom. The total energy is -4.41 eV for the cell shown.

Unit cell a=2.7009 b=2.7009 c=2.7009 alpha=90.00 beta=90.00 gamma=90.00
Fractional coordinates of all 1 atoms:
Ge1 0.0000 0.0000 0.0000

No. 4
## Ge (PBE)

Data for a relaxed structure of Ge.

Values from the calculation:
As for the offset from the most stable computed form: 181 meV per atom. As for the spin magnetization: 0.00 μB/cell. The value obtained for the formation energy is 0.18 eV/atom. For the calculated volume, the calculation gives 29.67 Å³ per atom. The total energy is -53.24 eV for the cell shown.

Unit cell a=9.9453 b=9.9453 c=4.1562 alpha=90.00 beta=90.00 gamma=120.00
Fractional coordinates of all 12 atoms:
Ge1 0.0818 0.4134 0.2500
Ge2 0.0818 0.6684 0.2500
Ge3 0.3316 0.4134 0.2500
Ge4 0.3316 0.9182 0.2500
Ge5 0.4134 0.0818 0.7500
Ge6 0.4134 0.3316 0.7500
Ge7 0.5866 0.6684 0.2500
Ge8 0.5866 0.9182 0.2500
Ge9 0.6684 0.0818 0.7500
Ge10 0.6684 0.5866 0.7500
Ge11 0.9182 0.3316 0.7500
Ge12 0.9182 0.5866 0.7500

What is the formation energy in the third record? 0.21 eV/atom

Which of these has the lowest formation energy? number 4